A geometry-optimized MgSc2Zn2 structure, computed with PBE.

calculated total energy	-3.425	eV per atom
calculated formation energy	-0.064	eV/atom
energy above the most stable polymorph in this dataset	216	meV/atom

Unit cell a=8.0381 b=8.0381 c=3.1921 alpha=90.00 beta=90.00 gamma=90.00
Last column: nearest neighbours and their distance in Å.
Space group P4/mbm (No. 127)
One atom of each set of equivalent atoms:
Mg (0.0000, 0.0000, 0.0000)  4 Sc 3.12, 2 Mg 3.19, 8 Zn 3.41
Sc (0.1368, 0.3632, 0.0000)  6 Zn 2.80-2.88, 1 Sc 3.11, 2 Mg 3.12
Zn (0.1606, 0.6606, 0.5000)  6 Sc 2.80-2.88